[1]
# Ta5Ni4P4 | the Alexandria database | PBEsol | relaxed
data_Ta5Ni4P4
_symmetry_space_group_name_H-M 'I 4/m'
_symmetry_Int_Tables_number 87
_symmetry_space_group_name_Hall '-I 4'
_cell_length_a 9.849
_cell_length_b 9.849
_cell_length_c 3.493
_cell_angle_alpha 90.00
_cell_angle_beta 90.00
_cell_angle_gamma 90.00
loop_
_atom_site_label
_atom_site_type_symbol
_atom_site_fract_x
_atom_site_fract_y
_atom_site_fract_z
Ta1 Ta 0.000 0.000 0.000
Ta2 Ta 0.131 0.195 0.500
Ni1 Ni 0.086 0.610 0.500
P1 P 0.055 0.741 0.000
# Magnetic moment (μB per cell): 0.0
# Total DFT energy (no corrections) (eV per cell): -243.599
# DFT formation energy (eV per atom): -0.8653

---

[2]
# TaNiP2 | the Alexandria database | PBEsol | relaxed
data_TaNiP2
_symmetry_space_group_name_H-M 'P m m m'
_symmetry_Int_Tables_number 47
_symmetry_space_group_name_Hall '-P 2 2'
_cell_length_a 3.123
_cell_length_b 3.433
_cell_length_c 5.126
_cell_angle_alpha 90.00
_cell_angle_beta 90.00
_cell_angle_gamma 90.00
loop_
_atom_site_label
_atom_site_type_symbol
_atom_site_fract_x
_atom_site_fract_y
_atom_site_fract_z
Ta1 Ta 0.000 0.000 0.000
Ni1 Ni 0.500 0.000 0.500
P1 P 0.500 0.500 0.241
# Magnetic moment (μB per cell): 0.0
# Total DFT energy (no corrections) (eV per cell): -32.171
# DFT formation energy (eV per atom): -0.4698

---

[3]
# TaNi3P | the Alexandria database | PBEsol | relaxed
data_TaNi3P
_symmetry_space_group_name_H-M 'P m -3 m'
_symmetry_Int_Tables_number 221
_symmetry_space_group_name_Hall '-P 4 2 3'
_cell_length_a 4.063
_cell_length_b 4.063
_cell_length_c 4.063
_cell_angle_alpha 90.00
_cell_angle_beta 90.00
_cell_angle_gamma 90.00
loop_
_atom_site_label
_atom_site_type_symbol
_atom_site_fract_x
_atom_site_fract_y
_atom_site_fract_z
Ta1 Ta 0.000 0.000 0.000
Ni1 Ni 0.000 0.500 0.500
P1 P 0.500 0.500 0.500
# Magnetic moment (μB per cell): 0.0
# Total DFT energy (no corrections) (eV per cell): -35.872
# DFT formation energy (eV per atom): 0.1885

---

[4]
# TaNiP2 | the Alexandria database | PBEsol | relaxed
data_TaNiP2
_symmetry_space_group_name_H-M 'P 4/m m m'
_symmetry_Int_Tables_number 123
_symmetry_space_group_name_Hall '-P 4 2'
_cell_length_a 3.132
_cell_length_b 3.132
_cell_length_c 5.261
_cell_angle_alpha 90.00
_cell_angle_beta 90.00
_cell_angle_gamma 90.00
loop_
_atom_site_label
_atom_site_type_symbol
_atom_site_fract_x
_atom_site_fract_y
_atom_site_fract_z
Ta1 Ta 0.000 0.000 0.000
Ni1 Ni 0.000 0.000 0.500
P1 P 0.500 0.500 0.272
# Magnetic moment (μB per cell): 0.0
# Total DFT energy (no corrections) (eV per cell): -31.675
# DFT formation energy (eV per atom): -0.3458

---

[5]
# TaNiP2 | the Alexandria database | PBEsol | relaxed
data_TaNiP2
_symmetry_space_group_name_H-M 'P 4/m m m'
_symmetry_Int_Tables_number 123
_symmetry_space_group_name_Hall '-P 4 2'
_cell_length_a 4.071
_cell_length_b 4.071
_cell_length_c 3.141
_cell_angle_alpha 90.00
_cell_angle_beta 90.00
_cell_angle_gamma 90.00
loop_
_atom_site_label
_atom_site_type_symbol
_atom_site_fract_x
_atom_site_fract_y
_atom_site_fract_z
Ta1 Ta 0.000 0.000 0.000
Ni1 Ni 0.500 0.500 0.000
P1 P 0.000 0.500 0.500
# Magnetic moment (μB per cell): 0.0
# Total DFT energy (no corrections) (eV per cell): -31.908
# DFT formation energy (eV per atom): -0.4041

---

[6]
# TaNiP2 | the Alexandria database | PBEsol | relaxed
data_TaNiP2
_symmetry_space_group_name_H-M 'P n m a'
_symmetry_Int_Tables_number 62
_symmetry_space_group_name_Hall '-P 2ac 2n'
_cell_length_a 5.364
_cell_length_b 3.318
_cell_length_c 12.027
_cell_angle_alpha 90.00
_cell_angle_beta 90.00
_cell_angle_gamma 90.00
loop_
_atom_site_label
_atom_site_type_symbol
_atom_site_fract_x
_atom_site_fract_y
_atom_site_fract_z
Ta1 Ta 0.019 0.250 0.171
Ni1 Ni 0.026 0.250 0.415
P1 P 0.134 0.250 0.689
P2 P 0.189 0.250 0.965
# Magnetic moment (μB per cell): 0.0
# Total DFT energy (no corrections) (eV per cell): -133.673
# DFT formation energy (eV per atom): -0.7817